No. 1
This record from the Alexandria database describes a crystal of BaHgAu relaxed with PBEsol. The functional is SCAN.

Summary:
* DFT total energy: -179.14 eV per cell
* volume: 28.88 A^3/atom

Cell: 4.9087 4.9087 4.1521 Å, 90.00 90.00 120.00°
Closest atoms and distances in Å follow each position.
Positions (direct):
Ba1 0.0000 0.0000 0.0000  6 Hg 3.51, 6 Au 3.51
Hg1 0.3333 0.6667 0.5000  3 Au 2.83
Au1 0.6667 0.3333 0.5000  3 Hg 2.83

***

No. 2
This record from the Alexandria database describes a crystal of BaHg2Au relaxed with PBEsol. The functional is SCAN.

Summary:
* DFT total energy: -247.09 eV per cell
* volume: 28.55 A^3/atom

Cell: 4.3472 4.8556 5.5634 Å, 90.00 103.44 90.00°
Closest atoms and distances in Å follow each position.
Positions (direct):
Ba1 0.0000 0.0000 0.0000  2 Au 3.11, 4 Hg 3.44
Hg1 0.3412 0.5000 0.7098  2 Au 2.85, 1 Hg 2.98
Hg2 0.6588 0.5000 0.2902  2 Au 2.85, 1 Hg 2.98
Au1 0.5000 0.0000 0.5000  4 Hg 2.85, 2 Ba 3.11

***

No. 3
This record from the Alexandria database describes a crystal of BaHgAu4 relaxed with PBEsol. The functional is SCAN.

Summary:
* DFT total energy: -386.89 eV per cell
* volume: 21.37 A^3/atom

Cell: 5.6601 5.6601 5.6601 Å, 60.00 60.00 60.00°
Closest atoms and distances in Å follow each position.
Positions (direct):
Ba1 0.0000 0.0000 0.0000  12 Au 3.32, 4 Hg 3.47
Hg1 0.2500 0.2500 0.2500  12 Au 3.32, 4 Ba 3.47
Au1 0.1273 0.6242 0.6242  6 Au 2.81-2.85
Au2 0.6242 0.1273 0.6242  6 Au 2.81-2.85
Au3 0.6242 0.6242 0.1273  6 Au 2.81-2.85
Au4 0.6242 0.6242 0.6242  6 Au 2.81-2.85

***

No. 4
This record from the Alexandria database describes a crystal of BaHg2Au relaxed with PBEsol. The functional is SCAN.

Summary:
* DFT total energy: -247.08 eV per cell
* volume: 28.07 A^3/atom

Cell: 4.4250 6.6571 6.6571 Å, 34.93 90.00 90.00°
Closest atoms and distances in Å follow each position.
Positions (direct):
Ba1 0.0000 0.0000 0.0000  4 Au 3.26, 3 Hg 3.30-3.64
Hg1 0.0000 0.2601 0.2601  2 Au 2.81
Hg2 0.5000 0.6717 0.6717  4 Hg 3.19, 3 Au 3.49
Au1 0.5000 0.3966 0.3966  2 Hg 2.81

***

No. 5
This record from the Alexandria database describes a crystal of BaHg2Au relaxed with PBEsol. The functional is SCAN.

Summary:
* DFT total energy: -247.17 eV per cell
* volume: 26.97 A^3/atom

Cell: 5.9132 5.9132 5.9132 Å, 138.68 126.40 69.85°
Closest atoms and distances in Å follow each position.
Positions (direct):
Ba1 0.0000 0.0000 0.0000  4 Au 3.39, 8 Hg 3.40-3.44
Hg1 0.2817 0.7817 0.5000  2 Au 2.97
Hg2 0.7183 0.2183 0.5000  2 Au 2.97
Au1 0.5000 0.5000 0.0000  4 Hg 2.97

***

No. 6
This record from the Alexandria database describes a crystal of BaHg2Au relaxed with PBEsol. The functional is SCAN.

Summary:
* DFT total energy: -247.06 eV per cell
* volume: 26.76 A^3/atom

Cell: 5.8547 5.8547 5.8547 Å, 132.50 132.50 69.44°
Closest atoms and distances in Å follow each position.
Positions (direct):
Ba1 0.0000 0.0000 0.0000  4 Au 3.33, 8 Hg 3.37
Hg1 0.2500 0.7500 0.5000  4 Hg 3.33, 4 Au 3.37, 4 Ba 3.37
Hg2 0.7500 0.2500 0.5000  4 Hg 3.33, 4 Au 3.37, 4 Ba 3.37
Au1 0.5000 0.5000 0.0000  4 Ba 3.33, 8 Hg 3.37

***

No. 7
This record from the Alexandria database describes a crystal of BaMnAu2I relaxed with PBEsol. The functional is SCAN.

Summary:
* ΔE_f (raw): -2.96 eV per formula unit
* volume: 26.96 A^3/atom

Cell: 5.0464 5.0464 5.2942 Å, 90.00 90.00 90.00°
Closest atoms and distances in Å follow each position.
Positions (direct):
Ba1 0.0000 0.0000 0.0000  4 I 3.57, 8 Au 3.66
Mn1 0.5000 0.5000 0.5000  4 Au 2.52, 2 I 2.65
Au1 0.0000 0.5000 0.5000  2 Mn 2.52
Au2 0.5000 0.0000 0.5000  2 Mn 2.52
I1 0.5000 0.5000 0.0000  2 Mn 2.65

***

No. 8
This record from the Alexandria database describes a crystal of BaAuI2O relaxed with PBEsol. The functional is SCAN.

Summary:
* ΔE_f (raw): -4.03 eV per formula unit
* volume: 28.06 A^3/atom

Cell: 5.8196 5.8196 4.1425 Å, 90.00 90.00 90.00°
Closest atoms and distances in Å follow each position.
Positions (direct):
Ba1 0.0000 0.0000 0.0000  8 I 3.57
Au1 0.5000 0.5000 0.5000  2 O 2.07
I1 0.0000 0.5000 0.5000  2 Au 2.91
I2 0.5000 0.0000 0.5000  2 Au 2.91
O1 0.5000 0.5000 0.0000  2 Au 2.07